Entry 1:
CaHo2Tm: optimized geometry, PBE-GGA.

ΔE_f: 0.08 eV/atom
D(E_F): 1.450 states/eV per atom
Symmetry: P4/mmm, No. 123

```
CaHo2Tm
1.0
3.578 0.000 0.000
0.000 3.578 0.000
0.000 0.000 10.314
Ca Ho Tm
1 2 1
Cartesian
0.000 0.000 0.000 Ca
1.789 1.789 2.799 Ho
1.789 1.789 7.515 Ho
0.000 0.000 5.157 Tm
```

***

Entry 2:
Na3Ac3MgO8: optimized geometry, PBE-GGA.

Uncorrected formation energy: -2.220 eV/atom
D(E_F): 0.891 states/eV per atom
Symmetry: R-3m, No. 166

```
Na3Ac3MgO8
1.0
3.656 2.111 5.617
-3.656 2.111 5.617
0.000 -4.221 5.617
Na Ac Mg O
3 3 1 8
Cartesian
-1.828 -1.055 5.617 Na
-1.828 1.055 11.234 Na
0.000 2.111 5.617 Na
-3.656 0.000 8.425 Ac
-1.828 1.055 2.808 Ac
1.828 1.055 2.809 Ac
0.000 0.000 8.426 Mg
0.000 0.000 4.102 O
-1.654 -0.955 9.568 O
0.000 -1.910 7.283 O
-1.654 0.955 7.283 O
1.654 -0.955 9.568 O
0.000 1.910 9.568 O
1.654 0.955 7.283 O
0.000 0.000 12.749 O
```

***

Entry 3:
K4HoEr3Se8: optimized geometry, PBE-GGA.

Uncorrected formation energy: -1.759 eV/atom
D(E_F): 0.000 states/eV per atom
Symmetry: R-3m, No. 166

```
K4HoEr3Se8
1.0
4.184 2.416 7.676
-4.184 2.416 7.676
0.000 -4.832 7.676
K Ho Er Se
4 1 3 8
Cartesian
0.000 0.000 0.000 K
-2.092 -1.208 7.676 K
-2.092 1.208 15.351 K
0.000 2.416 7.676 K
0.000 0.000 11.513 Ho
-4.184 0.000 11.513 Er
-2.092 1.208 3.838 Er
2.092 1.208 3.838 Er
0.000 0.000 5.399 Se
-2.097 -1.211 13.078 Se
0.000 -2.422 9.949 Se
-2.097 1.211 9.949 Se
2.097 -1.211 13.078 Se
0.000 2.422 13.078 Se
2.097 1.211 9.949 Se
0.000 0.000 17.628 Se
```

***

Entry 4:
Y3TlAg: optimized geometry, PBE-GGA.

ΔE_f: -0.18 eV/atom
D(E_F): 0.902 states/eV per atom
Symmetry: P1, No. 1

```
Y3TlAg
1.0
3.673 0.000 0.000
0.007 8.635 0.000
0.003 3.207 9.016
Y Tl Ag
6 2 2
Cartesian
0.000 0.000 0.000 Y
0.007 6.751 8.263 Y
1.839 2.401 2.083 Y
1.846 7.180 5.233 Y
3.672 5.597 2.094 Y
3.673 2.153 5.557 Y
0.012 8.643 3.159 Tl
1.845 9.332 7.968 Tl
1.834 4.347 4.259 Ag
1.841 4.537 7.058 Ag
```

***

Question: Among the records above, which one has the highest D(E_F)?
Answer: CaHo2Tm

***

Question: What is the D(E_F) in the second record?
Answer: 0.891 states/eV per atom

***

Question: What is the formula in the second record?
Answer: Na3Ac3MgO8